1.
! Na6CdIn2 | Alexandria | PBE | optimized geometry; values from VASP
! M_tot = 0.000 μB per cell
! Crystal system = monoclinic
! Space-group type = C2/m
! Formation enthalpy at 0 K = -0.60 eV/f.u.
&SYSTEM
  ibrav = 0, nat = 9, ntyp = 3
/
ATOMIC_SPECIES
In 114.82 In.upf
Na 22.99 Na.upf
Cd 112.41 Cd.upf
ATOMIC_POSITIONS crystal
In 0.0000 0.6667 0.6667
In 0.0000 0.3333 0.3333
Na 0.5016 0.0000 0.3335
Na 0.5016 0.3335 0.0000
Na 0.5000 0.3336 0.6664
Na 0.4984 0.6665 0.0000
Na 0.4984 0.0000 0.6665
Na 0.5000 0.6664 0.3336
Cd 0.0000 0.0000 0.0000
CELL_PARAMETERS angstrom
3.1105 -0.0001 0.0009
0.0011 8.3170 4.7823
-0.0005 0.0164 9.5939

=====

2.
! Na2Cd9In | Alexandria | PBE | optimized geometry; values from VASP
! M_tot = 0.000 μB per cell
! Crystal system = trigonal
! Space-group type = R-3m
! Formation enthalpy at 0 K = -0.28 eV/f.u.
&SYSTEM
  ibrav = 0, nat = 12, ntyp = 3
/
ATOMIC_SPECIES
Cd 112.41 Cd.upf
Na 22.99 Na.upf
In 114.82 In.upf
ATOMIC_POSITIONS crystal
Cd 0.9208 0.4124 0.2544
Cd 0.5000 0.5000 0.5000
Cd 0.3345 0.3345 0.9964
Cd 0.6655 0.6655 0.0036
Cd 0.0792 0.5876 0.7456
Cd 0.5876 0.5876 0.7456
Cd 0.4124 0.4124 0.2544
Cd 0.5876 0.0792 0.7456
Cd 0.4124 0.9208 0.2544
Na 0.8573 0.8573 0.4282
Na 0.1427 0.1427 0.5718
In 0.0000 0.0000 0.0000
CELL_PARAMETERS angstrom
6.0250 0.0000 0.0000
3.0125 5.2178 0.0000
3.0125 1.7393 9.6889

=====

3.
! Na8Cd6In | Alexandria | PBE | optimized geometry; values from VASP
! M_tot = 0.000 μB per cell
! Crystal system = trigonal
! Space-group type = R-3
! Formation enthalpy at 0 K = -0.34 eV/f.u.
! Excess energy over the best structure of this formula in the dataset = 0.456 eV/f.u.
&SYSTEM
  ibrav = 0, nat = 15, ntyp = 3
/
ATOMIC_SPECIES
Na 22.99 Na.upf
In 114.82 In.upf
Cd 112.41 Cd.upf
ATOMIC_POSITIONS crystal
Na 0.4578 0.7835 0.6400
Na 0.7835 0.1187 0.6400
Na 0.1187 0.4578 0.6400
Na 0.2165 0.8813 0.3600
Na 0.8813 0.5422 0.3600
Na 0.5422 0.2165 0.3600
Na 0.3360 0.3360 0.9919
Na 0.6640 0.6640 0.0081
In 0.0000 0.0000 0.0000
Cd 0.0446 0.7179 0.8622
Cd 0.3753 0.0446 0.8622
Cd 0.9554 0.2821 0.1378
Cd 0.2821 0.6247 0.1378
Cd 0.7179 0.3753 0.8622
Cd 0.6247 0.9554 0.1378
CELL_PARAMETERS angstrom
8.9034 0.0000 0.0000
4.4517 7.7106 0.0000
4.4517 2.5702 6.5850

=====

4.
! NaCd2In9 | Alexandria | PBE | optimized geometry; values from VASP
! M_tot = 0.000 μB per cell
! Crystal system = tetragonal
! Space-group type = P4/mmm
! Formation enthalpy at 0 K = -0.17 eV/f.u.
&SYSTEM
  ibrav = 0, nat = 12, ntyp = 3
/
ATOMIC_SPECIES
In 114.82 In.upf
Na 22.99 Na.upf
Cd 112.41 Cd.upf
ATOMIC_POSITIONS crystal
In 0.5000 0.0000 0.5000
In 0.0000 0.5000 0.5000
In 0.5000 0.5000 0.6678
In 0.5000 0.0000 0.8322
In 0.0000 0.5000 0.8322
In 0.5000 0.5000 0.0000
In 0.0000 0.5000 0.1678
In 0.5000 0.0000 0.1678
In 0.5000 0.5000 0.3322
Na 0.0000 0.0000 0.0000
Cd 0.0000 0.0000 0.6713
Cd 0.0000 0.0000 0.3287
CELL_PARAMETERS angstrom
4.7330 0.0000 0.0000
0.0000 4.7330 0.0000
0.0000 0.0000 14.0265

=====

5.
! Na17CdIn11 | Alexandria | PBE | optimized geometry; values from VASP
! M_tot = 0.000 μB per cell
! Crystal system = monoclinic
! Space-group type = Cm
! Formation enthalpy at 0 K = -3.29 eV/f.u.
&SYSTEM
  ibrav = 0, nat = 29, ntyp = 3
/
ATOMIC_SPECIES
Na 22.99 Na.upf
Cd 112.41 Cd.upf
In 114.82 In.upf
ATOMIC_POSITIONS crystal
Na 0.5923 0.0007 0.3122
Na 0.9987 0.9987 0.9996
Na 0.4103 0.7204 0.4090
Na 0.0007 0.5923 0.3122
Na 0.3486 0.9987 0.9989
Na 0.0003 0.0003 0.3477
Na 0.9987 0.3486 0.9989
Na 0.4104 0.4104 0.7221
Na 0.9990 0.3114 0.5907
Na 0.6870 0.6870 0.2792
Na 0.6875 0.2787 0.6878
Na 0.3114 0.9990 0.5907
Na 0.3118 0.5903 0.9994
Na 0.7204 0.4103 0.4090
Na 0.2787 0.6875 0.6878
Na 0.6515 0.6515 0.6535
Na 0.5903 0.3118 0.9994
Cd 0.3598 0.3598 0.1752
In 0.8152 0.6314 0.0018
In 0.1888 0.8190 0.1852
In 0.9999 0.6305 0.8169
In 0.0002 0.8147 0.6326
In 0.1873 0.3699 0.3700
In 0.6314 0.8152 0.0018
In 0.8147 0.0002 0.6326
In 0.3699 0.1873 0.3700
In 0.1856 0.1856 0.8137
In 0.6305 0.9999 0.8169
In 0.8190 0.1888 0.1852
CELL_PARAMETERS angstrom
-2.5685 -0.6390 -9.8535
8.8529 -4.8318 1.5419
-7.3010 -4.3366 5.7221

=====

6.
! Na3CdIn3 | Alexandria | PBE | optimized geometry; values from VASP
! M_tot = 0.000 μB per cell
! Crystal system = monoclinic
! Space-group type = C2/m
! Formation enthalpy at 0 K = -0.23 eV/f.u.
&SYSTEM
  ibrav = 0, nat = 14, ntyp = 3
/
ATOMIC_SPECIES
In 114.82 In.upf
Na 22.99 Na.upf
Cd 112.41 Cd.upf
ATOMIC_POSITIONS crystal
In 0.8838 0.8838 0.1731
In 0.0240 0.5136 0.3121
In 0.1162 0.1162 0.8269
In 0.9760 0.4864 0.6879
In 0.5136 0.0240 0.3121
In 0.4864 0.9760 0.6879
Na 0.4641 0.4641 0.6959
Na 0.1397 0.8603 0.5000
Na 0.5359 0.5359 0.3041
Na 0.8603 0.1397 0.5000
Na 0.2729 0.7271 0.0000
Na 0.7271 0.2729 0.0000
Cd 0.7801 0.7801 0.8503
Cd 0.2199 0.2199 0.1497
CELL_PARAMETERS angstrom
6.8640 1.2396 0.5436
-1.9482 6.6974 0.5436
-0.1263 -0.2039 8.3961

=====

7.
! Na12CdIn2 | Alexandria | PBE | optimized geometry; values from VASP
! M_tot = 0.000 μB per cell
! Crystal system = tetragonal
! Space-group type = P4/nbm
! Formation enthalpy at 0 K = 1.43 eV/f.u.
&SYSTEM
  ibrav = 0, nat = 30, ntyp = 3
/
ATOMIC_SPECIES
Na 22.99 Na.upf
In 114.82 In.upf
Cd 112.41 Cd.upf
ATOMIC_POSITIONS crystal
Na 0.0000 0.0000 0.8067
Na 0.0000 0.0000 0.1933
Na 0.0000 0.0000 0.6807
Na 0.8204 0.6796 0.4330
Na 0.1796 0.6796 0.5670
Na 0.7500 0.7500 0.9103
Na 0.2500 0.2500 0.9103
Na 0.5000 0.5000 0.3193
Na 0.0000 0.0000 0.3193
Na 0.3204 0.1796 0.5670
Na 0.8204 0.3204 0.5670
Na 0.2500 0.2500 0.0897
Na 0.7500 0.7500 0.0897
Na 0.1796 0.3204 0.4330
Na 0.5000 0.5000 0.6807
Na 0.2500 0.7500 0.9103
Na 0.6796 0.8204 0.5670
Na 0.5000 0.5000 0.8067
Na 0.2500 0.7500 0.0897
Na 0.3204 0.8204 0.4330
Na 0.5000 0.5000 0.1933
Na 0.7500 0.2500 0.9103
Na 0.7500 0.2500 0.0897
Na 0.6796 0.1796 0.4330
In 0.0000 0.5000 0.7937
In 0.5000 0.0000 0.2063
In 0.0000 0.5000 0.2063
In 0.5000 0.0000 0.7937
Cd 0.5000 0.0000 0.0000
Cd 0.0000 0.5000 0.0000
CELL_PARAMETERS angstrom
6.6766 0.0000 0.0000
0.0000 6.6766 0.0000
0.0000 0.0000 24.1037

=====

8.
! NaCd12In4 | Alexandria | PBE | optimized geometry; values from VASP
! M_tot = 0.000 μB per cell
! Crystal system = cubic
! Space-group type = Im-3
! Formation enthalpy at 0 K = 2.83 eV/f.u.
&SYSTEM
  ibrav = 0, nat = 17, ntyp = 3
/
ATOMIC_SPECIES
Cd 112.41 Cd.upf
In 114.82 In.upf
Na 22.99 Na.upf
ATOMIC_POSITIONS crystal
Cd 0.4974 0.8518 0.6456
Cd 0.6456 0.4974 0.8518
Cd 0.3544 0.2063 0.8518
Cd 0.8518 0.6456 0.4974
Cd 0.2063 0.8518 0.3544
Cd 0.3544 0.5026 0.1482
Cd 0.8518 0.3544 0.2063
Cd 0.7937 0.1482 0.6456
Cd 0.5026 0.1482 0.3544
Cd 0.1482 0.6456 0.7937
Cd 0.1482 0.3544 0.5026
Cd 0.6456 0.7937 0.1482
In 0.0000 0.5000 0.0000
In 0.5000 0.5000 0.5000
In 0.0000 0.0000 0.5000
In 0.5000 0.0000 0.0000
Na 0.0000 0.0000 0.0000
CELL_PARAMETERS angstrom
-0.5138 -3.1603 -8.1046
-4.2277 -5.3124 5.4627
-3.6238 7.9205 0.2644

=====

9.
! Na2Cd2In | Alexandria | PBE | optimized geometry; values from VASP
! M_tot = 0.000 μB per cell
! Crystal system = tetragonal
! Space-group type = P4/mbm
! Formation enthalpy at 0 K = 0.11 eV/f.u.
! Excess energy over the best structure of this formula in the dataset = 0.617 eV/f.u.
&SYSTEM
  ibrav = 0, nat = 10, ntyp = 3
/
ATOMIC_SPECIES
Na 22.99 Na.upf
Cd 112.41 Cd.upf
In 114.82 In.upf
ATOMIC_POSITIONS crystal
Na 0.6299 0.1299 0.0000
Na 0.1299 0.3701 0.0000
Na 0.8701 0.6299 0.0000
Na 0.3701 0.8701 0.0000
Cd 0.8331 0.3331 0.5000
Cd 0.1669 0.6669 0.5000
Cd 0.3331 0.1669 0.5000
Cd 0.6669 0.8331 0.5000
In 0.0000 0.0000 0.0000
In 0.5000 0.5000 0.0000
CELL_PARAMETERS angstrom
9.2490 0.0000 0.0000
0.0000 9.2490 0.0000
0.0000 0.0000 3.1766